Density functional theory data (GGA-PBE) for a relaxed structure of Ac2SmI.

a b c (Å): 3.9209 3.9209 10.3309
angles (deg): 90.00 90.00 90.00
With the nearest neighbours (Å) after each atom.
Positions (direct):
I 0.5000 0.5000 0.0000  8 Ac 3.76, 4 I 3.92
Ac 0.0000 0.0000 0.7538  4 I 3.76, 4 Sm 3.82, 4 Ac 3.92
Ac 0.0000 0.0000 0.2462  4 I 3.76, 4 Sm 3.82, 4 Ac 3.92
Sm 0.5000 0.5000 0.5000  8 Ac 3.82, 4 Sm 3.92

Results
Energy = -4.0094 eV/atom
Energy relative to the lowest polymorph listed for this composition = 0.0 kJ/mol of formula units
ΔE_f (raw) = -0.388 eV/atom
Total moment = 0.000 Bohr magnetons per cell